{
  "formula": "Dy4Y2C",
  "functional": "PBE",
  "state": "relaxed",
  "volume_a3_per_atom": 29.838,
  "ef_ev_per_atom": 0.123,
  "total_magnetization_mub_per_fu": 0.0,
  "sg": "No. 139",
  "energy_ev_per_cell": -39.7,
  "lattice_angstrom": [[-2.428, 2.428, 8.858], [2.428, -2.428, 8.858], [2.428, 2.428, -8.858]],
  "species": ["Dy", "Dy", "Dy", "Dy", "Y", "Y", "C"],
  "frac_coords": [[0.000, 0.500, 0.500], [0.134, 0.134, 0.000], [0.500, 0.000, 0.500], [0.866, 0.866, 0.000], [0.328, 0.328, 0.000], [0.672, 0.672, 0.000], [0.000, 0.000, 0.000]]
}

{
  "formula": "DyY12C7",
  "functional": "PBE",
  "state": "relaxed",
  "volume_a3_per_atom": 22.105,
  "ef_ev_per_atom": -0.249,
  "total_magnetization_mub_per_fu": 0.1,
  "sg": "No. 148",
  "energy_ev_per_cell": -151.7,
  "lattice_angstrom": [[6.580, 3.799, 2.948], [-6.580, 3.799, 2.948], [0.000, -7.597, 2.948]],
  "species": ["Dy", "Y", "Y", "Y", "Y", "Y", "Y", "Y", "Y", "Y", "Y", "Y", "Y", "C", "C", "C", "C", "C", "C", "C"],
  "frac_coords": [[0.000, 0.000, 0.000], [0.070, 0.213, 0.691], [0.159, 0.442, 0.374], [0.213, 0.691, 0.070], [0.309, 0.930, 0.787], [0.374, 0.159, 0.442], [0.442, 0.374, 0.159], [0.558, 0.626, 0.841], [0.626, 0.841, 0.558], [0.691, 0.070, 0.213], [0.787, 0.309, 0.930], [0.841, 0.558, 0.626], [0.930, 0.787, 0.309], [0.041, 0.116, 0.354], [0.116, 0.354, 0.041], [0.354, 0.041, 0.116], [0.500, 0.500, 0.500], [0.646, 0.959, 0.884], [0.884, 0.646, 0.959], [0.959, 0.884, 0.646]]
}

{
  "formula": "Dy3YC8",
  "functional": "PBE",
  "state": "relaxed",
  "volume_a3_per_atom": 15.229,
  "ef_ev_per_atom": 0.063,
  "total_magnetization_mub_per_fu": 0.0,
  "sg": "No. 8",
  "energy_ev_per_cell": -93.3,
  "lattice_angstrom": [[3.836, -5.025, 0.000], [3.836, 5.025, 0.000], [-3.326, 0.000, 4.741]],
  "species": ["Dy", "Dy", "Dy", "Y", "C", "C", "C", "C", "C", "C", "C", "C"],
  "frac_coords": [[0.000, 0.000, 0.000], [0.327, 0.822, 0.488], [0.822, 0.327, 0.488], [0.505, 0.505, 0.957], [0.095, 0.095, 0.675], [0.133, 0.133, 0.486], [0.440, 0.440, 0.331], [0.463, 0.902, 0.168], [0.574, 0.929, 0.018], [0.637, 0.637, 0.544], [0.902, 0.463, 0.168], [0.929, 0.574, 0.018]]
}

{
  "formula": "DyYC",
  "functional": "PBE",
  "state": "relaxed",
  "volume_a3_per_atom": 23.209,
  "ef_ev_per_atom": -0.264,
  "total_magnetization_mub_per_fu": 0.2,
  "sg": "No. 156",
  "energy_ev_per_cell": -21.1,
  "de_polymorph_kj_per_mol_fu": 7.2,
  "lattice_angstrom": [[3.585, 0.000, 0.000], [-1.792, 3.104, 0.000], [0.000, 0.000, 6.257]],
  "species": ["Dy", "Y", "C"],
  "frac_coords": [[0.000, 0.000, 0.000], [0.667, 0.333, 0.567], [0.333, 0.667, 0.787]]
}

{
  "formula": "DyY3C2",
  "functional": "PBE",
  "state": "relaxed",
  "volume_a3_per_atom": 23.309,
  "ef_ev_per_atom": -0.265,
  "total_magnetization_mub_per_fu": 0.6,
  "sg": "No. 164",
  "energy_ev_per_cell": -88.1,
  "lattice_angstrom": [[7.186, 0.000, 0.000], [-3.593, 6.224, 0.000], [0.000, 0.000, 6.254]],
  "species": ["Dy", "Dy", "Y", "Y", "Y", "Y", "Y", "Y", "C", "C", "C", "C"],
  "frac_coords": [[0.333, 0.667, 0.286], [0.667, 0.333, 0.714], [0.167, 0.333, 0.716], [0.167, 0.833, 0.716], [0.333, 0.167, 0.284], [0.667, 0.833, 0.716], [0.833, 0.167, 0.284], [0.833, 0.667, 0.284], [0.000, 0.000, 0.500], [0.000, 0.500, 0.500], [0.500, 0.000, 0.500], [0.500, 0.500, 0.500]]
}

{
  "formula": "DyY2ZnC",
  "functional": "PBE",
  "state": "relaxed",
  "volume_a3_per_atom": 23.402,
  "ef_ev_per_atom": -0.244,
  "total_magnetization_mub_per_fu": 0.8,
  "sg": "No. 123",
  "energy_ev_per_cell": -29.2,
  "lattice_angstrom": [[4.891, 0.000, 0.000], [0.000, 4.891, 0.000], [0.000, 0.000, 4.892]],
  "species": ["Dy", "Y", "Y", "Zn", "C"],
  "frac_coords": [[0.000, 0.000, 0.000], [0.000, 0.500, 0.500], [0.500, 0.000, 0.500], [0.500, 0.500, 0.000], [0.000, 0.000, 0.500]]
}

{
  "formula": "Dy6ZnC3",
  "functional": "PBE",
  "state": "relaxed",
  "volume_a3_per_atom": 21.275,
  "ef_ev_per_atom": -0.184,
  "total_magnetization_mub_per_fu": 0.0,
  "sg": "No. 11",
  "energy_ev_per_cell": -116.8,
  "lattice_angstrom": [[10.744, 0.000, 0.000], [0.000, 3.606, 0.000], [-2.502, 0.000, 10.983]],
  "species": ["Dy", "Dy", "Dy", "Dy", "Dy", "Dy", "Dy", "Dy", "Dy", "Dy", "Dy", "Dy", "Zn", "Zn", "C", "C", "C", "C", "C", "C"],
  "frac_coords": [[0.024, 0.250, 0.130], [0.114, 0.750, 0.451], [0.177, 0.250, 0.746], [0.292, 0.750, 0.018], [0.307, 0.250, 0.299], [0.427, 0.250, 0.596], [0.573, 0.750, 0.404], [0.693, 0.750, 0.701], [0.708, 0.250, 0.982], [0.823, 0.750, 0.254], [0.886, 0.250, 0.549], [0.976, 0.750, 0.870], [0.464, 0.750, 0.833], [0.536, 0.250, 0.167], [0.029, 0.750, 0.651], [0.137, 0.250, 0.951], [0.354, 0.750, 0.446], [0.646, 0.250, 0.554], [0.863, 0.750, 0.049], [0.971, 0.250, 0.349]]
}

{
  "formula": "Dy4ZnC",
  "functional": "PBE",
  "state": "relaxed",
  "volume_a3_per_atom": 24.991,
  "ef_ev_per_atom": -0.123,
  "total_magnetization_mub_per_fu": 0.0,
  "sg": "No. 15",
  "energy_ev_per_cell": -59.3,
  "lattice_angstrom": [[4.085, -6.923, 0.000], [4.085, 6.923, 0.000], [-3.193, 0.000, 5.303]],
  "species": ["Dy", "Dy", "Dy", "Dy", "Dy", "Dy", "Dy", "Dy", "Zn", "Zn", "C", "C"],
  "frac_coords": [[0.061, 0.659, 0.853], [0.178, 0.274, 0.695], [0.274, 0.178, 0.195], [0.341, 0.939, 0.647], [0.659, 0.061, 0.353], [0.726, 0.822, 0.805], [0.822, 0.726, 0.305], [0.939, 0.341, 0.147], [0.381, 0.619, 0.250], [0.619, 0.381, 0.750], [0.068, 0.932, 0.750], [0.932, 0.068, 0.250]]
}

{
  "formula": "Dy3ZnC",
  "functional": "PBE",
  "state": "relaxed",
  "volume_a3_per_atom": 23.232,
  "ef_ev_per_atom": -0.225,
  "total_magnetization_mub_per_fu": 0.5,
  "sg": "No. 221",
  "energy_ev_per_cell": -25.4,
  "de_polymorph_kj_per_mol_fu": 14.2,
  "lattice_angstrom": [[4.879, 0.000, 0.000], [0.000, 4.879, 0.000], [0.000, 0.000, 4.879]],
  "species": ["Dy", "Dy", "Dy", "Zn", "C"],
  "frac_coords": [[0.000, 0.000, 0.500], [0.000, 0.500, 0.000], [0.500, 0.000, 0.000], [0.500, 0.500, 0.500], [0.000, 0.000, 0.000]]
}

{
  "formula": "Dy3ZnC",
  "functional": "PBE",
  "state": "relaxed",
  "volume_a3_per_atom": 22.233,
  "ef_ev_per_atom": -0.254,
  "total_magnetization_mub_per_fu": 0.0,
  "sg": "No. 12",
  "energy_ev_per_cell": -51.2,
  "de_polymorph_kj_per_mol_fu": 0.0,
  "lattice_angstrom": [[5.675, -2.545, 0.000], [5.675, 2.545, 0.000], [-2.633, 0.000, 7.696]],
  "species": ["Dy", "Dy", "Dy", "Dy", "Dy", "Dy", "Zn", "Zn", "C", "C"],
  "frac_coords": [[0.095, 0.095, 0.206], [0.162, 0.162, 0.645], [0.361, 0.361, 0.079], [0.639, 0.639, 0.921], [0.838, 0.838, 0.355], [0.905, 0.905, 0.794], [0.410, 0.410, 0.564], [0.590, 0.590, 0.436], [0.132, 0.132, 0.925], [0.868, 0.868, 0.075]]
}

{
  "formula": "DyZr2C",
  "functional": "PBE",
  "state": "relaxed",
  "volume_a3_per_atom": 21.573,
  "ef_ev_per_atom": -0.274,
  "total_magnetization_mub_per_fu": 0.0,
  "sg": "No. 166",
  "energy_ev_per_cell": -32.0,
  "lattice_angstrom": [[1.673, 0.966, 8.897], [-1.673, 0.966, 8.897], [0.000, -1.932, 8.897]],
  "species": ["Dy", "Zr", "Zr", "C"],
  "frac_coords": [[0.000, 0.000, 0.000], [0.120, 0.120, 0.120], [0.880, 0.880, 0.880], [0.500, 0.500, 0.500]]
}

{
  "formula": "Dy2ZrC",
  "functional": "PBE",
  "state": "relaxed",
  "volume_a3_per_atom": 23.634,
  "ef_ev_per_atom": 0.098,
  "total_magnetization_mub_per_fu": 0.0,
  "sg": "No. 166",
  "energy_ev_per_cell": -26.6,
  "lattice_angstrom": [[1.710, 0.987, 9.332], [-1.710, 0.987, 9.332], [0.000, -1.975, 9.332]],
  "species": ["Dy", "Dy", "Zr", "C"],
  "frac_coords": [[0.118, 0.118, 0.118], [0.882, 0.882, 0.882], [0.000, 0.000, 0.000], [0.500, 0.500, 0.500]]
}

Please write out number 8 again, unchanged.
{
  "formula": "Dy4ZnC",
  "functional": "PBE",
  "state": "relaxed",
  "volume_a3_per_atom": 24.991,
  "ef_ev_per_atom": -0.123,
  "total_magnetization_mub_per_fu": 0.0,
  "sg": "No. 15",
  "energy_ev_per_cell": -59.3,
  "lattice_angstrom": [[4.085, -6.923, 0.000], [4.085, 6.923, 0.000], [-3.193, 0.000, 5.303]],
  "species": ["Dy", "Dy", "Dy", "Dy", "Dy", "Dy", "Dy", "Dy", "Zn", "Zn", "C", "C"],
  "frac_coords": [[0.061, 0.659, 0.853], [0.178, 0.274, 0.695], [0.274, 0.178, 0.195], [0.341, 0.939, 0.647], [0.659, 0.061, 0.353], [0.726, 0.822, 0.805], [0.822, 0.726, 0.305], [0.939, 0.341, 0.147], [0.381, 0.619, 0.250], [0.619, 0.381, 0.750], [0.068, 0.932, 0.750], [0.932, 0.068, 0.250]]
}